Density functional theory data (PBE) for crystalline Sc2Cu2C3 at its relaxed geometry.

Structure (POSCAR):
```
Sc2Cu2C3
1.0
5.312 -1.657 0.000
5.312 1.657 0.000
-1.053 0.000 4.741
Sc Cu C
2 2 3
Direct
0.118 0.118 0.349 Sc
0.882 0.882 0.651 Sc
0.359 0.359 0.163 Cu
0.641 0.641 0.837 Cu
0.251 0.251 0.782 C
0.500 0.500 0.500 C
0.749 0.749 0.218 C
```

Summary:
**Spin magnetization**: 0.00 μB/f.u.
**Raw total energy**: -6.580 eV/atom

Density functional theory data (PBE) for crystalline Sc4CuSiC2 at its relaxed geometry.

Structure (POSCAR):
```
Sc4CuSiC2
1.0
3.337 0.000 0.000
-1.668 2.890 0.000
0.000 0.000 13.421
Sc Cu Si C
4 1 1 2
Direct
0.000 0.000 0.156 Sc
0.000 0.000 0.844 Sc
0.333 0.667 0.339 Sc
0.333 0.667 0.661 Sc
0.333 0.667 0.000 Cu
0.000 0.000 0.500 Si
0.667 0.333 0.243 C
0.667 0.333 0.757 C
```

Summary:
**Spin magnetization**: 0.01 μB/f.u.
**Raw total energy**: -7.035 eV/atom

Density functional theory data (PBE) for crystalline Sc4CuSnC2 at its relaxed geometry.

Structure (POSCAR):
```
Sc4CuSnC2
1.0
3.376 0.000 0.000
-1.688 2.923 0.000
0.000 0.000 13.904
Sc Cu Sn C
4 1 1 2
Direct
0.000 0.000 0.146 Sc
0.000 0.000 0.854 Sc
0.667 0.333 0.320 Sc
0.667 0.333 0.680 Sc
0.667 0.333 0.000 Cu
0.000 0.000 0.500 Sn
0.333 0.667 0.233 C
0.333 0.667 0.767 C
```

Summary:
**Spin magnetization**: 0.02 μB/f.u.
**Raw total energy**: -6.925 eV/atom